A PBEsol-optimized structure of TlSn2Hg2, computed with SCAN.

Values from the calculation:
DOS at the Fermi energy in states/eV/f.u.: 2.12
Uncorrected energy in eV for the cell shown: -559.8
Formation enthalpy at 0 K in eV/atom: 0.12
Offset from the most stable computed form in kJ/mol of atoms: 3.8

Structure (POSCAR):
```
TlSn2Hg2
1.0
3.339 0.000 0.000
0.000 8.828 0.000
0.000 0.000 8.828
Tl Hg Sn
2 4 4
Cartesian
0.000 0.000 0.000
0.000 4.414 4.414
0.000 3.040 7.454
0.000 7.454 5.788
0.000 5.788 1.374
0.000 1.374 3.040
1.669 1.259 5.673
1.669 5.673 7.570
1.669 7.570 3.155
1.669 3.155 1.259
```